HoTmW4 after structural relaxation. Source: Alexandria, functional PBE.

a b c (Å): 7.8104 7.8104 7.8104
angles (deg): 90.00 90.00 90.00
Closest atoms and distances in Å follow each position.
Space group F-43m (No. 216)
Asymmetric unit:
Ho 0.0000 0.0000 0.0000 x4  12 W 3.24, 4 Tm 3.38
Tm 0.2500 0.2500 0.7500 x4  12 W 3.24, 4 Ho 3.38
W 0.1250 0.1250 0.3750 x16  6 W 2.76

Results
Its formation energy is 0.112 eV per atom.

Cs12H5S3 after structural relaxation. Source: Alexandria, functional PBE.

a b c (Å): 19.1337 19.1337 19.1337
angles (deg): 90.00 90.00 90.00
Closest atoms and distances in Å follow each position.
Space group Ia-3d (No. 230)
Asymmetric unit:
Cs 0.0223 0.0606 0.6550 x96  2 H 2.92-3.21
H 0.0000 0.0000 0.0000 x16  6 Cs 3.21
H 0.0000 0.2500 0.3750 x24  4 Cs 2.92
S 0.0000 0.2500 0.1250 x24  8 Cs 3.55-3.69

Results
The value obtained for the raw total energy is -48.7 eV/f.u.

What magnetic moment values result from the calculations? In sequence: 0.00, 0.32 μB per formula unit.